The following is a DFT calculation (PBE+U) of a relaxed structure of BeV2BO.

It has space group P4/mmm (No. 123), with a = 3.955 Å, b = 3.955 Å, c = 3.239 Å, α = 90.00°, β = 90.00° and γ = 90.00°. The asymmetric unit holds Be at (0.000, 0.000, 0.000), V at (0.000, 0.500, 0.500), B at (0.500, 0.500, 0.000) and O at (0.500, 0.500, 0.500).

As for the density of states at the Fermi level: 3.617 states/eV/f.u. For the total magnetic moment, the calculation gives 0.00 μB/f.u. The value obtained for the total energy is -5.4133 eV per atom.